(1)
Material: RbSb4Au
Method: DFT, PBE
State: optimized geometry

## Properties
Energy relative to the lowest polymorph listed for this composition ... 23 meV per atom
E_tot ... -42.8 eV per cell
Formation energy from raw total energies ... -111 meV per atom

```
data_RbSb4Au
_chemical_formula_sum 'Rb2 Sb8 Au2'
_cell_length_a 7.195
_cell_length_b 8.189
_cell_length_c 9.181
_cell_angle_alpha 102.52
_cell_angle_beta 108.03
_cell_angle_gamma 112.25
_space_group_name_H-M_alt 'P -1'
_space_group_IT_number 2
loop_
_space_group_symop_operation_xyz
'x,y,z'
'-x,-y,-z'
loop_
_atom_site_label
_atom_site_type_symbol
_atom_site_fract_x
_atom_site_fract_y
_atom_site_fract_z
Rb1 Rb 0.000 0.000 0.000
Rb2 Rb 0.000 0.000 0.500
Sb1 Sb 0.178 0.671 0.155
Sb2 Sb 0.289 0.774 0.805
Sb3 Sb 0.461 0.308 0.927
Sb4 Sb 0.483 0.127 0.406
Au1 Au 0.094 0.560 0.397
```

(2)
Material: ReTeN3
Method: DFT, PBE
State: optimized geometry

## Properties
E_tot ... -29.0 eV per cell
Formation energy from raw total energies ... 2318 meV per atom

```
data_ReTeN3
_chemical_formula_sum 'Re1 Te1 N3'
_cell_length_a 3.948
_cell_length_b 3.948
_cell_length_c 3.948
_cell_angle_alpha 90.00
_cell_angle_beta 90.00
_cell_angle_gamma 90.00
_space_group_name_H-M_alt 'P m -3 m'
_space_group_IT_number 221
_space_group_name_Hall '-P 4 2 3'
loop_
_atom_site_label
_atom_site_type_symbol
_atom_site_fract_x
_atom_site_fract_y
_atom_site_fract_z
Re1 Re 0.000 0.000 0.000
Te1 Te 0.500 0.500 0.500
N1 N 0.000 0.500 0.500
```

(3)
Material: NdPuSnAu
Method: DFT, PBE
State: optimized geometry

## Properties
E_tot ... -113.7 eV per cell
Energy of formation from the pure elements ... -198.1 kJ/mol of formula units

```
data_NdPuSnAu
_chemical_formula_sum 'Nd4 Pu4 Sn4 Au4'
_cell_length_a 7.548
_cell_length_b 7.548
_cell_length_c 7.548
_cell_angle_alpha 90.00
_cell_angle_beta 90.00
_cell_angle_gamma 90.00
_space_group_name_H-M_alt 'F -4 3 m'
_space_group_IT_number 216
_space_group_name_Hall 'F -4 2 3'
loop_
_atom_site_label
_atom_site_type_symbol
_atom_site_fract_x
_atom_site_fract_y
_atom_site_fract_z
Nd1 Nd 0.000 0.000 0.000
Pu1 Pu 0.000 0.000 0.500
Sn1 Sn 0.250 0.250 0.750
Au1 Au 0.250 0.250 0.250
```

(4)
Material: Ni3RuS
Method: DFT, PBE
State: optimized geometry

## Properties
Energy relative to the lowest polymorph listed for this composition ... 1055 meV per atom
E_tot ... -23.3 eV per cell
Formation energy from raw total energies ... 1487 meV per atom

```
data_Ni3RuS
_chemical_formula_sum 'Ni3 Ru1 S1'
_cell_length_a 4.464
_cell_length_b 4.464
_cell_length_c 4.464
_cell_angle_alpha 90.00
_cell_angle_beta 90.00
_cell_angle_gamma 90.00
_space_group_name_H-M_alt 'P m -3 m'
_space_group_IT_number 221
_space_group_name_Hall '-P 4 2 3'
loop_
_atom_site_label
_atom_site_type_symbol
_atom_site_fract_x
_atom_site_fract_y
_atom_site_fract_z
Ni1 Ni 0.000 0.000 0.500
Ru1 Ru 0.000 0.000 0.000
S1 S 0.500 0.500 0.500
```

(5)
Material: Y2US3O2
Method: DFT, PBE
State: optimized geometry

## Properties
E_tot ... -133.2 eV per cell
Formation energy from raw total energies ... -2510 meV per atom

```
data_Y2US3O2
_chemical_formula_sum 'Y4 U2 S6 O4'
_cell_length_a 3.815
_cell_length_b 3.815
_cell_length_c 21.125
_cell_angle_alpha 90.00
_cell_angle_beta 90.00
_cell_angle_gamma 90.00
_space_group_name_H-M_alt 'I 4 m m'
_space_group_IT_number 107
_space_group_name_Hall 'I 4 -2'
loop_
_atom_site_label
_atom_site_type_symbol
_atom_site_fract_x
_atom_site_fract_y
_atom_site_fract_z
Y1 Y 0.000 0.000 0.000
Y2 Y 0.000 0.000 0.314
U1 U 0.000 0.000 0.693
S1 S 0.000 0.000 0.130
S2 S 0.000 0.000 0.502
S3 S 0.000 0.000 0.871
O1 O 0.000 0.500 0.249
```

(6)
Material: SrMgV2
Method: DFT, PBE
State: optimized geometry

## Properties
Energy relative to the lowest polymorph listed for this composition ... 40 meV per atom
E_tot ... -69.9 eV per cell
Energy of formation from the pure elements ... 388.9 kJ/mol of formula units

```
data_SrMgV2
_chemical_formula_sum 'Sr4 Mg4 V8'
_cell_length_a 4.406
_cell_length_b 4.406
_cell_length_c 21.079
_cell_angle_alpha 90.00
_cell_angle_beta 90.00
_cell_angle_gamma 90.00
_space_group_name_H-M_alt 'I -4 2 d'
_space_group_IT_number 122
_space_group_name_Hall 'I -4 2bw'
loop_
_atom_site_label
_atom_site_type_symbol
_atom_site_fract_x
_atom_site_fract_y
_atom_site_fract_z
Sr1 Sr 0.000 0.000 0.000
Mg1 Mg 0.000 0.000 0.500
V1 V 0.015 0.750 0.625
```

(7)
Material: B3PC
Method: DFT, PBE
State: optimized geometry

## Properties
Energy relative to the lowest polymorph listed for this composition ... 217 meV per atom
E_tot ... -97.0 eV per cell
Energy of formation from the pure elements ... 224.2 kJ/mol of formula units

```
data_B3PC
_chemical_formula_sum 'B9 P3 C3'
_cell_length_a 2.8838
_cell_length_b 2.8838
_cell_length_c 17.5389
_cell_angle_alpha 90.00
_cell_angle_beta 90.00
_cell_angle_gamma 120.00
_space_group_name_H-M_alt 'R 3 m'
_space_group_IT_number 160
_space_group_name_Hall 'R 3 -2"'
loop_
_atom_site_label
_atom_site_type_symbol
_atom_site_fract_x
_atom_site_fract_y
_atom_site_fract_z
B1 B 0.0000 0.0000 0.0000
B2 B 0.0000 0.0000 0.1001
B3 B 0.0000 0.0000 0.6189
P1 P 0.0000 0.0000 0.8916
C1 C 0.0000 0.0000 0.7893
```

(8)
Material: BaIn2Mo
Method: DFT, PBE
State: optimized geometry

## Properties
Energy relative to the lowest polymorph listed for this composition ... 150 meV per atom
E_tot ... -33.4 eV per cell
Energy of formation from the pure elements ... 148.7 kJ/mol of formula units

```
data_BaIn2Mo
_chemical_formula_sum 'Ba2 In4 Mo2'
_cell_length_a 9.671
_cell_length_b 3.169
_cell_length_c 7.122
_cell_angle_alpha 90.00
_cell_angle_beta 97.17
_cell_angle_gamma 90.00
_space_group_name_H-M_alt 'C 1 2/m 1'
_space_group_IT_number 12
loop_
_space_group_symop_operation_xyz
'x,y,z'
'-x,-y,-z'
'-x,y,-z'
'x,-y,z'
'x+1/2,y+1/2,z'
'-x+1/2,-y+1/2,-z'
'-x+1/2,y+1/2,-z'
'x+1/2,-y+1/2,z'
loop_
_atom_site_label
_atom_site_type_symbol
_atom_site_fract_x
_atom_site_fract_y
_atom_site_fract_z
Ba1 Ba 0.000 0.000 0.000
In1 In 0.235 0.000 0.680
Mo1 Mo 0.000 0.500 0.500
```

(9)
Material: ZrAlBr2
Method: DFT, PBE
State: optimized geometry

## Properties
Energy relative to the lowest polymorph listed for this composition ... 780 meV per atom
E_tot ... -15.4 eV per cell
Formation energy from raw total energies ... 62 meV per atom

```
data_ZrAlBr2
_chemical_formula_sum 'Zr1 Al1 Br2'
_cell_length_a 4.476
_cell_length_b 4.476
_cell_length_c 4.608
_cell_angle_alpha 90.00
_cell_angle_beta 90.00
_cell_angle_gamma 90.00
_space_group_name_H-M_alt 'P 4/m m m'
_space_group_IT_number 123
_space_group_name_Hall '-P 4 2'
loop_
_atom_site_label
_atom_site_type_symbol
_atom_site_fract_x
_atom_site_fract_y
_atom_site_fract_z
Zr1 Zr 0.000 0.000 0.000
Al1 Al 0.500 0.500 0.000
Br1 Br 0.000 0.500 0.500
```

(10)
Material: CuTe2Au
Method: DFT, PBE
State: optimized geometry

## Properties
E_tot ... -47.8 eV per cell
Formation energy from raw total energies ... 424 meV per atom

```
data_CuTe2Au
_chemical_formula_sum 'Cu4 Te8 Au4'
_cell_length_a 7.068
_cell_length_b 7.068
_cell_length_c 7.068
_cell_angle_alpha 90.00
_cell_angle_beta 90.00
_cell_angle_gamma 90.00
_space_group_name_H-M_alt 'F m -3 m'
_space_group_IT_number 225
_space_group_name_Hall '-F 4 2 3'
loop_
_atom_site_label
_atom_site_type_symbol
_atom_site_fract_x
_atom_site_fract_y
_atom_site_fract_z
Cu1 Cu 0.000 0.000 0.000
Te1 Te 0.250 0.250 0.250
Au1 Au 0.000 0.000 0.500
```

(11)
Material: Re3OsS
Method: DFT, PBE
State: optimized geometry

## Properties
Energy relative to the lowest polymorph listed for this composition ... 0 meV per atom
E_tot ... -46.7 eV per cell
Formation energy from raw total energies ... 1206 meV per atom

```
data_Re3OsS
_chemical_formula_sum 'Re3 Os1 S1'
_cell_length_a 4.301
_cell_length_b 4.301
_cell_length_c 4.301
_cell_angle_alpha 90.00
_cell_angle_beta 90.00
_cell_angle_gamma 90.00
_space_group_name_H-M_alt 'P m -3 m'
_space_group_IT_number 221
_space_group_name_Hall '-P 4 2 3'
loop_
_atom_site_label
_atom_site_type_symbol
_atom_site_fract_x
_atom_site_fract_y
_atom_site_fract_z
Re1 Re 0.000 0.000 0.500
Os1 Os 0.500 0.500 0.500
S1 S 0.000 0.000 0.000
```

(12)
Material: PaTl2NiSe4
Method: DFT, PBE
State: optimized geometry

## Properties
E_tot ... -39.3 eV per cell
Formation energy from raw total energies ... -674 meV per atom

```
data_PaTl2NiSe4
_chemical_formula_sum 'Pa1 Tl2 Ni1 Se4'
_cell_length_a 6.360
_cell_length_b 4.125
_cell_length_c 8.415
_cell_angle_alpha 90.00
_cell_angle_beta 107.22
_cell_angle_gamma 90.00
_space_group_name_H-M_alt 'P 1 2/m 1'
_space_group_IT_number 10
loop_
_space_group_symop_operation_xyz
'x,y,z'
'-x,-y,-z'
'-x,y,-z'
'x,-y,z'
loop_
_atom_site_label
_atom_site_type_symbol
_atom_site_fract_x
_atom_site_fract_y
_atom_site_fract_z
Pa1 Pa 0.000 0.000 0.000
Tl1 Tl 0.000 0.500 0.500
Tl2 Tl 0.500 0.000 0.500
Ni1 Ni 0.500 0.500 0.000
Se1 Se 0.255 0.500 0.194
Se2 Se 0.283 0.000 0.811
```

(13)
Material: Sc5Ta
Method: DFT, PBE
State: optimized geometry

## Properties
Energy relative to the lowest polymorph listed for this composition ... 596 meV per atom
E_tot ... -39.5 eV per cell
Energy of formation from the pure elements ... 386.8 kJ/mol of formula units

```
data_Sc5Ta
_chemical_formula_sum 'Sc5 Ta1'
_cell_length_a 5.6322
_cell_length_b 5.6322
_cell_length_c 5.1955
_cell_angle_alpha 90.00
_cell_angle_beta 90.00
_cell_angle_gamma 120.00
_space_group_name_H-M_alt 'P 6/m m m'
_space_group_IT_number 191
_space_group_name_Hall '-P 6 2'
loop_
_atom_site_label
_atom_site_type_symbol
_atom_site_fract_x
_atom_site_fract_y
_atom_site_fract_z
Sc1 Sc 0.0000 0.5000 0.0000
Sc2 Sc 0.3333 0.6667 0.5000
Ta1 Ta 0.0000 0.0000 0.5000
```

Ordered magnetic moment results: 0.0 3.2 6.2 0.0 1.9 0.0 0.0 0.0 0.0 0.0 0.0 1.0 0.3; unit μB/f.u..